Material: Sm3Th2NpAs6
Method: DFT, PBE
State: optimized geometry

Structure (POSCAR):
```
Sm3Th2NpAs6
1.0
4.215 0.000 0.000
0.000 8.422 0.293
-2.108 -2.434 8.863
Th Sm As Np
2 3 6 1
direct
0.165 0.330 0.330
0.835 0.670 0.670
0.500 0.500 0.000
0.167 0.833 0.335
0.833 0.167 0.665
0.333 0.417 0.666
0.001 0.756 0.002
0.665 0.081 0.330
0.999 0.244 0.998
0.667 0.583 0.334
0.335 0.919 0.670
0.500 0.000 0.000
```

- Size of the total moment: 0.348 μB per atom
- ΔE_f: -1.35 eV/atom
- DOS at the Fermi energy: 13.974 states/eV/cell
- Volume: 318 Å³ per cell